DyCdPb2 | PBE-GGA | relaxed

- energy of formation from the pure elements (eV/atom) = -0.097
- symmetry = Fm-3m (225)

The structure in POSCAR format:
```
DyCdPb2
1.0
5.411 0.000 0.000
2.705 4.686 0.000
2.705 1.562 4.418
Pb Cd Dy
2 1 1
direct
0.750 0.750 0.750
0.250 0.250 0.250
0.000 0.000 0.000
0.500 0.500 0.500
```

---

CaAl2H8 | PBE-GGA | relaxed

- symmetry = P2_1/c (14)
- DFT total energy (eV per atom) = -3.4788

The structure in POSCAR format:
```
CaAl2H8
1.0
-6.369 1.570 9.668
0.819 -3.865 1.167
3.547 1.278 2.129
H Ca Al
16 2 4
direct
0.924 0.523 0.188
0.199 0.905 0.953
0.424 0.477 0.312
0.704 0.558 0.205
0.592 0.054 0.026
0.801 0.095 0.047
0.296 0.442 0.795
0.076 0.477 0.812
0.576 0.523 0.688
0.408 0.946 0.974
0.092 0.946 0.474
0.301 0.905 0.453
0.204 0.442 0.295
0.796 0.558 0.705
0.699 0.095 0.547
0.908 0.054 0.526
0.000 0.000 0.000
0.500 0.000 0.500
0.316 0.670 0.117
0.184 0.670 0.617
0.684 0.330 0.883
0.816 0.330 0.383
```